(1)
An optimized crystal structure of Fe2Cl2F. Source: Alexandria via LeMat-Bulk, functional PBE with a Hubbard U.

Cell: 7.180 7.180 3.184 Å, 90.00 90.00 90.00°
Space group P4/mbm (No. 127)
Unique sites:
Fe: 0.145 0.355 0.000 [4 per cell]
Cl: 0.149 0.649 0.500 [4 per cell]
F: 0.000 0.000 0.500 [2 per cell]

Magnetization ... 14.002 μB/cell
Theoretical density ... 4.08 g/cm³
DOS at the Fermi energy ... 0.1 states/eV per cell



(2)
An optimized crystal structure of Fe2Cl2F. Source: Alexandria via LeMat-Bulk, functional PBE with a Hubbard U.

Cell: 4.454 4.454 9.861 Å, 90.00 90.00 90.00°
Space group I4/mmm (No. 139)
Unique sites:
Fe: 0.000 0.500 0.250 [4 per cell]
Cl: 0.000 0.000 0.150 [4 per cell]
F: 0.000 0.000 0.500 [2 per cell]

Magnetization ... 14.113 μB/cell
Theoretical density ... 3.42 g/cm³
DOS at the Fermi energy ... 9.3 states/eV per cell



Least stable: (2)



(1)
An optimized crystal structure of FeCl2F. Source: Alexandria via LeMat-Bulk, functional PBE with a Hubbard U.

Cell: 6.213 5.480 9.524 Å, 90.00 90.00 90.00°
Space group Pnna (No. 52)
Unique sites:
Fe: 0.250 0.000 0.104 [4 per cell]
Cl: 0.075 0.235 0.923 [8 per cell]
F: 0.171 0.250 0.250 [4 per cell]

Magnetization ... 19.996 μB/cell
Theoretical density ... 2.99 g/cm³
DOS at the Fermi energy ... 0.0 states/eV per cell



(2)
An optimized crystal structure of FeCl2F. Source: Alexandria via LeMat-Bulk, functional PBE with a Hubbard U.

Cell: 8.994 8.994 3.929 Å, 90.00 90.00 90.00°
Space group I-42d (No. 122)
Unique sites:
Fe: 0.000 0.000 0.000 [4 per cell]
Cl: 0.091 0.250 0.125 [8 per cell]
F: 0.000 0.000 0.500 [4 per cell]

Magnetization ... 20.000 μB/cell
Theoretical density ... 3.05 g/cm³
DOS at the Fermi energy ... 0.0 states/eV per cell



(3)
An optimized crystal structure of FeCl2F. Source: Alexandria via LeMat-Bulk, functional PBE with a Hubbard U.

Cell: 6.200 6.200 6.200 Å, 90.00 90.00 90.00°
Space group Fm-3m (No. 225)
Unique sites:
Fe: 0.000 0.000 0.000 [4 per cell]
Cl: 0.250 0.250 0.250 [8 per cell]
F: 0.000 0.000 0.500 [4 per cell]

Magnetization ... 20.000 μB/cell
Theoretical density ... 4.06 g/cm³
DOS at the Fermi energy ... 0.0 states/eV per cell



(4)
An optimized crystal structure of FeCl2F. Source: Alexandria via LeMat-Bulk, functional PBE with a Hubbard U.

Cell: 3.7276 3.7276 22.0825 Å, 90.00 90.00 120.00°
Space group R-3m (No. 166, hexagonal axes)
Unique sites:
Fe: 0.0000 0.0000 0.0000 [3 per cell]
Cl: 0.0000 0.0000 0.3930 [6 per cell]
F: 0.0000 0.0000 0.5000 [3 per cell]

Magnetization ... 15.000 μB/cell
Theoretical density ... 2.73 g/cm³
DOS at the Fermi energy ... 0.0 states/eV per cell



Least stable: (3)